Record 1
This record from the Alexandria database describes crystalline CeCo6 at its relaxed geometry. The functional is PBE-GGA.

For the formation energy, the calculation gives -56 meV per atom. The value obtained for the raw total energy is -195.8 eV per cell. The density of states at the Fermi level is 1.435 states/eV per atom.

The space group is Pnma (No. 62) and the conventional cell measures 7.797, 4.775 and 9.918 Å, with angles of 90.00, 90.00 and 90.00 degrees. Symmetry generates all atoms from Ce at (0.242, 0.250, 0.056), Co at (0.063, 0.750, 0.089), Co at (0.067, 0.009, 0.308), Co at (0.107, 0.250, 0.523), Co at (0.141, 0.750, 0.849) and Co at (0.185, 0.250, 0.758).

Record 2
This record from the Alexandria database describes crystalline CeCo3 at its relaxed geometry. The functional is PBE-GGA.

For the formation energy, the calculation gives -185 meV per atom. The value obtained for the raw total energy is -251.9 eV per cell. The density of states at the Fermi level is 1.360 states/eV per atom.

The space group is R-3m (No. 166, hexagonal axes) and the conventional cell measures 4.8801, 4.8801 and 24.9086 Å, with angles of 90.00, 90.00 and 120.00 degrees. Symmetry generates all atoms from Ce at (0.0000, 0.0000, 0.0000), Ce at (0.0000, 0.0000, 0.1386), Co at (0.0000, 0.0000, 0.3325), Co at (0.0000, 0.0000, 0.5000) and Co at (0.0015, 0.5008, 0.0807).

Record 3
This record from the Alexandria database describes crystalline CeCo6 at its relaxed geometry. The functional is PBE-GGA.

For the formation energy, the calculation gives 513 meV per atom. The value obtained for the raw total energy is -90.0 eV per cell. The density of states at the Fermi level is 2.152 states/eV per atom.

The space group is Im-3m (No. 229) and the conventional cell measures 6.047, 6.047 and 6.047 Å, with angles of 90.00, 90.00 and 90.00 degrees. Symmetry generates all atoms from Ce at (0.000, 0.000, 0.000) and Co at (0.000, 0.250, 0.500).